The following is a DFT calculation (GGA-PBE) of an optimized crystal structure of Cs2NpS4.

Output
As for the raw formation energy: -1.173 eV/atom. Its offset from the most stable computed form is 0.0 meV/atom. The calculation puts the total moment at 1.97 μB per cell. The calculation puts the calculated total energy at -5.624 eV per atom.

The structure in CIF format:
```
data_Cs2NpS4
_cell_length_a 5.217
_cell_length_b 5.217
_cell_length_c 17.549
_cell_angle_alpha 90.00
_cell_angle_beta 90.00
_cell_angle_gamma 90.00
_symmetry_space_group_name_H-M 'I 4/m m m'
_symmetry_Int_Tables_number 139
_symmetry_space_group_name_Hall '-I 4 2'
loop_
_atom_site_label
_atom_site_type_symbol
_atom_site_fract_x
_atom_site_fract_y
_atom_site_fract_z
Cs1 Cs 0.000 0.000 0.149
Np1 Np 0.000 0.000 0.500
S1 S 0.000 0.000 0.360
S2 S 0.000 0.500 0.000
```

***

The following is a DFT calculation (GGA-PBE) of an optimized crystal structure of K2MgIn4Pb3.

Output
The calculation puts the total moment at 0.00 μB per cell. The calculation puts the calculated total energy at -2.665 eV per atom.

The structure in CIF format:
```
data_K2MgIn4Pb3
_cell_length_a 5.122
_cell_length_b 5.122
_cell_length_c 12.883
_cell_angle_alpha 90.00
_cell_angle_beta 90.00
_cell_angle_gamma 90.00
_symmetry_space_group_name_H-M 'P -4 m 2'
_symmetry_Int_Tables_number 115
loop_
_symmetry_equiv_pos_as_xyz
'x,y,z'
'y,-x,-z'
'-x,-y,z'
'-y,x,-z'
'-x,y,z'
'-y,-x,-z'
'x,-y,z'
'y,x,-z'
loop_
_atom_site_label
_atom_site_type_symbol
_atom_site_fract_x
_atom_site_fract_y
_atom_site_fract_z
K1 K 0.000 0.500 0.249
Mg1 Mg 0.000 0.000 0.500
In1 In 0.000 0.000 0.000
In2 In 0.000 0.500 0.631
In3 In 0.500 0.500 0.000
Pb1 Pb 0.000 0.500 0.863
Pb2 Pb 0.500 0.500 0.500
```

***

The following is a DFT calculation (GGA-PBE) of an optimized crystal structure of CrTcRh.

Output
Its offset from the most stable computed form is 0.0 meV/atom. The calculation puts the total moment at 0.00 μB per cell. The calculation puts the calculated total energy at -9.073 eV per atom.

The structure in CIF format:
```
data_CrTcRh
_cell_length_a 4.2146
_cell_length_b 4.2146
_cell_length_c 2.6539
_cell_angle_alpha 90.00
_cell_angle_beta 90.00
_cell_angle_gamma 120.00
_symmetry_space_group_name_H-M 'P -6 m 2'
_symmetry_Int_Tables_number 187
_symmetry_space_group_name_Hall 'P -6 2'
loop_
_atom_site_label
_atom_site_type_symbol
_atom_site_fract_x
_atom_site_fract_y
_atom_site_fract_z
Cr1 Cr 0.0000 0.0000 0.0000
Tc1 Tc 0.3333 0.6667 0.0000
Rh1 Rh 0.6667 0.3333 0.5000
```

***

The following is a DFT calculation (GGA-PBE) of an optimized crystal structure of Sc2Be2Bi.

Output
Its offset from the most stable computed form is 480.1 meV/atom. The calculation puts the total moment at 0.00 μB per cell. The calculation puts the calculated total energy at -4.529 eV per atom.

The structure in CIF format:
```
data_Sc2Be2Bi
_cell_length_a 7.647
_cell_length_b 7.647
_cell_length_c 3.348
_cell_angle_alpha 90.00
_cell_angle_beta 90.00
_cell_angle_gamma 90.00
_symmetry_space_group_name_H-M 'P 4/m b m'
_symmetry_Int_Tables_number 127
_symmetry_space_group_name_Hall '-P 4 2ab'
loop_
_atom_site_label
_atom_site_type_symbol
_atom_site_fract_x
_atom_site_fract_y
_atom_site_fract_z
Sc1 Sc 0.144 0.356 0.000
Be1 Be 0.155 0.655 0.500
Bi1 Bi 0.000 0.000 0.000
```

***

The following is a DFT calculation (GGA-PBE) of an optimized crystal structure of SiAu2F.

Output
As for the raw formation energy: -0.211 eV/atom. Its offset from the most stable computed form is 97.4 meV/atom. The calculation puts the total moment at 0.00 μB per cell. The calculation puts the calculated total energy at -3.673 eV per atom.

The structure in CIF format:
```
data_SiAu2F
_cell_length_a 6.248
_cell_length_b 6.248
_cell_length_c 6.248
_cell_angle_alpha 90.00
_cell_angle_beta 90.00
_cell_angle_gamma 90.00
_symmetry_space_group_name_H-M 'F m -3 m'
_symmetry_Int_Tables_number 225
_symmetry_space_group_name_Hall '-F 4 2 3'
loop_
_atom_site_label
_atom_site_type_symbol
_atom_site_fract_x
_atom_site_fract_y
_atom_site_fract_z
Si1 Si 0.000 0.000 0.000
Au1 Au 0.250 0.250 0.250
F1 F 0.000 0.000 0.500
```

***

The following is a DFT calculation (GGA-PBE) of an optimized crystal structure of YPtRh.

Output
Its offset from the most stable computed form is 763.1 meV/atom. The calculation puts the total moment at 0.00 μB per cell. The calculation puts the calculated total energy at -6.786 eV per atom.

The structure in CIF format:
```
data_YPtRh
_cell_length_a 3.2463
_cell_length_b 3.2463
_cell_length_c 6.4091
_cell_angle_alpha 90.00
_cell_angle_beta 90.00
_cell_angle_gamma 120.00
_symmetry_space_group_name_H-M 'P 3 m 1'
_symmetry_Int_Tables_number 156
loop_
_symmetry_equiv_pos_as_xyz
'x,y,z'
'-y,x-y,z'
'-x+y,-x,z'
'-y,-x,z'
'-x+y,y,z'
'x,x-y,z'
loop_
_atom_site_label
_atom_site_type_symbol
_atom_site_fract_x
_atom_site_fract_y
_atom_site_fract_z
Y1 Y 0.0000 0.0000 0.0000
Pt1 Pt 0.6667 0.3333 0.3398
Rh1 Rh 0.3333 0.6667 0.6790
```

***

The following is a DFT calculation (GGA-PBE) of an optimized crystal structure of IrCNO2.

Output
As for the raw formation energy: 1.642 eV/atom. The calculation puts the total moment at 1.19 μB per cell. The calculation puts the calculated total energy at -5.624 eV per atom.

The structure in CIF format:
```
data_IrCNO2
_cell_length_a 3.879
_cell_length_b 3.879
_cell_length_c 3.765
_cell_angle_alpha 90.00
_cell_angle_beta 90.00
_cell_angle_gamma 90.00
_symmetry_space_group_name_H-M 'P 4/m m m'
_symmetry_Int_Tables_number 123
_symmetry_space_group_name_Hall '-P 4 2'
loop_
_atom_site_label
_atom_site_type_symbol
_atom_site_fract_x
_atom_site_fract_y
_atom_site_fract_z
Ir1 Ir 0.000 0.000 0.000
C1 C 0.500 0.500 0.500
N1 N 0.000 0.000 0.500
O1 O 0.000 0.500 0.000
```

***

The following is a DFT calculation (GGA-PBE) of an optimized crystal structure of LaPmY3Tm.

Output
The calculation puts the total moment at 0.01 μB per cell. The calculation puts the calculated total energy at -5.487 eV per atom.

The structure in CIF format:
```
data_LaPmY3Tm
_cell_length_a 5.878
_cell_length_b 11.619
_cell_length_c 11.724
_cell_angle_alpha 90.00
_cell_angle_beta 90.00
_cell_angle_gamma 90.00
_symmetry_space_group_name_H-M 'C m c m'
_symmetry_Int_Tables_number 63
_symmetry_space_group_name_Hall '-C 2c 2'
loop_
_atom_site_label
_atom_site_type_symbol
_atom_site_fract_x
_atom_site_fract_y
_atom_site_fract_z
La1 La 0.000 0.012 0.250
Pm1 Pm 0.000 0.500 0.000
Y1 Y 0.000 0.175 0.510
Y2 Y 0.000 0.326 0.250
Tm1 Tm 0.000 0.336 0.750
```

***

The following is a DFT calculation (GGA-PBE) of an optimized crystal structure of SrTcAg.

Output
Its offset from the most stable computed form is 743.8 meV/atom. The calculation puts the total moment at 0.39 μB per cell. The calculation puts the calculated total energy at -3.990 eV per atom.

The structure in CIF format:
```
data_SrTcAg
_cell_length_a 3.0807
_cell_length_b 3.0807
_cell_length_c 7.7010
_cell_angle_alpha 90.00
_cell_angle_beta 90.00
_cell_angle_gamma 120.00
_symmetry_space_group_name_H-M 'P 3 m 1'
_symmetry_Int_Tables_number 156
loop_
_symmetry_equiv_pos_as_xyz
'x,y,z'
'-y,x-y,z'
'-x+y,-x,z'
'-y,-x,z'
'-x+y,y,z'
'x,x-y,z'
loop_
_atom_site_label
_atom_site_type_symbol
_atom_site_fract_x
_atom_site_fract_y
_atom_site_fract_z
Sr1 Sr 0.0000 0.0000 0.0000
Tc1 Tc 0.3333 0.6667 0.3332
Ag1 Ag 0.6667 0.3333 0.6293
```

***

The following is a DFT calculation (GGA-PBE) of an optimized crystal structure of Ce6In2Ru.

Output
The calculation puts the total moment at 2.23 μB per cell. The calculation puts the calculated total energy at -5.791 eV per atom.

The structure in CIF format:
```
data_Ce6In2Ru
_cell_length_a 6.376
_cell_length_b 8.452
_cell_length_c 10.368
_cell_angle_alpha 90.00
_cell_angle_beta 119.35
_cell_angle_gamma 90.00
_symmetry_space_group_name_H-M 'P 1 21/c 1'
_symmetry_Int_Tables_number 14
loop_
_symmetry_equiv_pos_as_xyz
'x,y,z'
'-x,-y,-z'
'-x,y+1/2,-z+1/2'
'x,-y+1/2,z+1/2'
loop_
_atom_site_label
_atom_site_type_symbol
_atom_site_fract_x
_atom_site_fract_y
_atom_site_fract_z
Ce1 Ce 0.036 0.159 0.477
Ce2 Ce 0.337 0.747 0.979
Ce3 Ce 0.376 0.047 0.263
In1 In 0.170 0.082 0.803
Ru1 Ru 0.000 0.000 0.000
```

***

The following is a DFT calculation (GGA-PBE) of an optimized crystal structure of TbPmAs2Pd5.

Output
The calculation puts the total moment at 0.00 μB per cell. The calculation puts the calculated total energy at -5.771 eV per atom.

The structure in CIF format:
```
data_TbPmAs2Pd5
_cell_length_a 4.245
_cell_length_b 4.245
_cell_length_c 9.381
_cell_angle_alpha 90.00
_cell_angle_beta 90.00
_cell_angle_gamma 90.00
_symmetry_space_group_name_H-M 'P 4/m m m'
_symmetry_Int_Tables_number 123
_symmetry_space_group_name_Hall '-P 4 2'
loop_
_atom_site_label
_atom_site_type_symbol
_atom_site_fract_x
_atom_site_fract_y
_atom_site_fract_z
Tb1 Tb 0.000 0.000 0.000
Pm1 Pm 0.000 0.000 0.500
As1 As 0.500 0.500 0.136
Pd1 Pd 0.000 0.500 0.275
Pd2 Pd 0.500 0.500 0.500
```

***

The following is a DFT calculation (GGA-PBE) of an optimized crystal structure of LaZr3Nb.

Output
Its offset from the most stable computed form is 948.9 meV/atom. The calculation puts the total moment at 0.00 μB per cell. The calculation puts the calculated total energy at -6.611 eV per atom.

The structure in CIF format:
```
data_LaZr3Nb
_cell_length_a 5.078
_cell_length_b 5.078
_cell_length_c 5.078
_cell_angle_alpha 90.00
_cell_angle_beta 90.00
_cell_angle_gamma 90.00
_symmetry_space_group_name_H-M 'P m -3 m'
_symmetry_Int_Tables_number 221
_symmetry_space_group_name_Hall '-P 4 2 3'
loop_
_atom_site_label
_atom_site_type_symbol
_atom_site_fract_x
_atom_site_fract_y
_atom_site_fract_z
La1 La 0.000 0.000 0.000
Zr1 Zr 0.000 0.000 0.500
Nb1 Nb 0.500 0.500 0.500
```